# 1
# AlTcCl2

A relaxed structure of AlTcCl2 (PBE, Alexandria).

```
AlTcCl2
1.0
4.507 -1.561 0.000
4.507 1.561 0.000
-2.802 0.000 7.047
Al Tc Cl
1 1 2
Cartesian
0.000 0.000 0.000
3.737 0.000 6.633
-0.632 0.000 4.836
1.785 0.000 1.594
```

Calculated values
- E_form (uncorrected) (kJ/mol of formula units) = -78
- space group = Cm
- mass density (g/cm3) = 3.3
- crystal system = monoclinic



# 2
# AlTcCl2

A relaxed structure of AlTcCl2 (PBE, Alexandria).

```
AlTcCl2
1.0
0.000 3.298 3.298
3.298 0.000 3.298
3.298 3.298 0.000
Al Tc Cl
1 1 2
Cartesian
0.000 0.000 0.000
3.298 3.298 3.298
1.649 1.649 1.649
4.946 4.946 4.946
```

Calculated values
- E_form (uncorrected) (kJ/mol of formula units) = 201
- space group = Fm-3m
- mass density (g/cm3) = 4.5
- crystal system = cubic



# 3
# AlTcCl2

A relaxed structure of AlTcCl2 (PBE, Alexandria).

```
AlTcCl2
1.0
3.226 -3.884 0.000
3.226 3.884 0.000
0.000 0.000 3.281
Al Tc Cl
1 1 2
Cartesian
0.000 0.000 0.000
3.226 0.000 0.000
1.613 1.942 1.640
1.613 -1.942 1.640
```

Calculated values
- E_form (uncorrected) (kJ/mol of formula units) = 201
- space group = Cmmm
- mass density (g/cm3) = 4.0
- crystal system = orthorhombic



# 4
# AlTc2Cl

A relaxed structure of AlTc2Cl (PBE, Alexandria).

```
AlTc2Cl
1.0
-1.477 2.131 4.730
1.477 -2.131 4.730
1.477 2.131 -4.730
Al Tc Cl
1 2 1
Cartesian
0.000 0.000 0.000
1.477 0.000 2.670
0.000 0.000 4.971
0.000 2.131 2.225
```

Calculated values
- E_form (uncorrected) (kJ/mol of formula units) = 151
- space group = Imm2
- mass density (g/cm3) = 7.2
- crystal system = orthorhombic



# 5
# AlTlTc2Cl

A relaxed structure of AlTlTc2Cl (PBE, Alexandria).

```
AlTlTc2Cl
1.0
4.476 0.000 0.000
0.000 4.476 0.000
0.000 0.000 4.650
Al Tl Tc Cl
1 1 2 1
Cartesian
0.000 0.000 0.000
2.238 2.238 0.000
0.000 2.238 2.325
2.238 0.000 2.325
0.000 0.000 2.325
```

Calculated values
- E_form (uncorrected) (kJ/mol of formula units) = 533
- space group = P4/mmm
- mass density (g/cm3) = 8.3
- crystal system = tetragonal



# 6
# AlTlTc2Cl

A relaxed structure of AlTlTc2Cl (PBE, Alexandria).

```
AlTlTc2Cl
1.0
4.430 0.000 0.000
0.000 4.430 0.000
0.000 0.000 5.565
Al Tl Tc Cl
1 1 2 1
Cartesian
0.000 0.000 0.000
2.215 2.215 0.000
0.000 2.215 2.783
2.215 0.000 2.783
2.215 2.215 2.783
```

Calculated values
- E_form (uncorrected) (kJ/mol of formula units) = 595
- space group = P4/mmm
- mass density (g/cm3) = 7.0
- crystal system = tetragonal



Number 1: E_tot -18.6 eV/f.u.. Number 2: E_tot -15.7 eV/f.u.. Number 3: E_tot -15.7 eV/f.u.. Number 4: E_tot -24.8 eV/f.u.. Number 5: E_tot -23.2 eV/f.u.. Number 6: E_tot -22.5 eV/f.u..